Entry from the Alexandria database: NaIn4Hg8 after structural relaxation (PBE).

a = 3.7721 Å, b = 9.5610 Å, c = 10.5579 Å
α = 84.80°, β = 79.71°, γ = 78.62°
Closest atoms and distances in Å follow each position.
Fractional coordinates of all 13 atoms:
Hg 0.1481 0.9914 0.7125  3 Hg 2.94-3.22, 3 In 3.05-3.27, 2 Na 3.25
Hg 0.5371 0.7377 0.1882  3 In 3.01-3.02, 2 Hg 3.22, 1 Na 3.28
In 0.1909 0.5043 0.1139  6 Hg 2.99-3.08
In 0.8408 0.4988 0.8196  6 Hg 2.99-3.08
Hg 0.4945 0.2655 0.7456  3 In 3.01-3.02, 2 Hg 3.22, 1 Na 3.28
Hg 0.9106 0.6285 0.5503  3 In 2.99-3.04, 1 Hg 3.02
Hg 0.8474 0.2646 0.0407  1 Hg 2.94, 3 In 3.06-3.08, 2 Na 3.23
In 0.3439 0.8636 0.4486  6 Hg 3.01-3.27, 2 In 3.25
Hg 0.8835 0.0117 0.2213  3 Hg 2.94-3.22, 3 In 3.06-3.27, 2 Na 3.25
Hg 0.1205 0.3753 0.3837  3 In 2.99-3.04, 1 Hg 3.02
Hg 0.1841 0.7386 0.8932  1 Hg 2.94, 3 In 3.06-3.08, 2 Na 3.23
In 0.6873 0.1403 0.4850  6 Hg 3.01-3.27, 2 In 3.25
Na 0.5157 0.0018 0.9667  10 Hg 3.23-3.28

Distance to the lowest polymorph of the same formula   0 meV per atom
DOS at the Fermi energy   4.77 states/eV/f.u.
VASP energy   -1.145 eV per atom
Calculated density   9451 kg/m3